No. 1
Density functional theory data (PBE-GGA) for a geometry-optimized PmGa4CoPt2 structure.

Cell lengths 4.252, 4.252, 9.049 Å; angles 76.41, 76.41, 60.00 degrees
Sites, in units of the cell vectors:
1 Ga 0.599 0.599 0.204
2 Ga 0.865 0.865 0.404
3 Ga 0.135 0.135 0.596
4 Pm 0.000 0.000 0.000
5 Pt 0.765 0.765 0.706
6 Co 0.500 0.500 0.500
7 Pt 0.235 0.235 0.294
8 Ga 0.401 0.401 0.796

Summary:
The value obtained for the total energy is -5.133 eV per atom. The total magnetization is 0.30 μB per cell.

No. 2
Density functional theory data (PBE-GGA) for a geometry-optimized MgZrSc2H structure.

Cell lengths 4.523, 4.523, 4.471 Å; angles 90.00, 90.00, 90.00 degrees
Sites, in units of the cell vectors:
1 H 0.000 0.000 0.000
2 Sc 0.500 0.000 0.000
3 Sc 0.000 0.500 0.000
4 Zr 0.500 0.500 0.500
5 Mg 0.000 0.000 0.500

Summary:
The value obtained for the total energy is -5.317 eV per atom. The total magnetization is 0.00 μB per cell.

No. 3
Density functional theory data (PBE-GGA) for a geometry-optimized Zr3SnSb structure.

Cell lengths 5.275, 5.275, 5.275 Å; angles 90.00, 90.00, 90.00 degrees
Sites, in units of the cell vectors:
1 Zr 0.000 0.500 0.000
2 Sn 0.500 0.500 0.500
3 Zr 0.000 0.000 0.500
4 Sb 0.000 0.000 0.000
5 Zr 0.500 0.000 0.000

Summary:
Its energy relative to the elements, uncorrected is 2.61 eV/f.u. The total magnetization is 0.00 μB per cell.

No. 4
Density functional theory data (PBE-GGA) for a geometry-optimized NbAlReRu structure.

Cell lengths 4.418, 4.418, 4.418 Å; angles 60.00, 60.00, 60.00 degrees
Sites, in units of the cell vectors:
1 Re 0.250 0.250 0.250
2 Ru 0.750 0.750 0.750
3 Nb 0.500 0.500 0.500
4 Al 0.000 0.000 0.000

Summary:
The value obtained for the total energy is -9.245 eV per atom. The total magnetization is 0.00 μB per cell.

No. 5
Density functional theory data (PBE-GGA) for a geometry-optimized Zn2TcNi structure.

Cell lengths 4.617, 4.617, 4.724 Å; angles 80.32, 80.32, 32.75 degrees
Sites, in units of the cell vectors:
1 Zn 0.000 0.000 0.995
2 Ni 0.499 0.499 0.487
3 Zn 0.756 0.756 0.753
4 Tc 0.244 0.244 0.264

Summary:
The value obtained for the total energy is -4.638 eV per atom. The total magnetization is 0.00 μB per cell.

No. 6
Density functional theory data (PBE-GGA) for a geometry-optimized Pm6HgGe2Te3 structure.

Cell lengths 4.359, 8.926, 9.869 Å; angles 104.15, 102.76, 90.00 degrees
Sites, in units of the cell vectors:
1 Te 0.500 0.500 0.000
2 Pm 0.673 0.568 0.346
3 Ge 0.167 0.332 0.333
4 Ge 0.833 0.668 0.667
5 Te 0.836 0.167 0.671
6 Pm 0.331 0.896 0.662
7 Hg 0.500 0.000 0.000
8 Pm 0.669 0.104 0.338
9 Pm 0.993 0.742 0.985
10 Pm 0.007 0.258 0.015
11 Te 0.164 0.833 0.329
12 Pm 0.327 0.432 0.654

Summary:
Its energy relative to the elements, uncorrected is -13.30 eV/f.u. The total magnetization is 0.00 μB per cell.

No. 7
Density functional theory data (PBE-GGA) for a geometry-optimized Ba2SiAgAs structure.

Cell lengths 6.320, 4.728, 6.320 Å; angles 90.00, 90.00, 90.00 degrees
Sites, in units of the cell vectors:
1 As 0.000 0.000 0.000
2 Ba 0.500 0.000 0.000
3 Ag 0.500 0.500 0.500
4 Si 0.000 0.500 0.000
5 Ba 0.000 0.000 0.500

Summary:
Its energy relative to the elements, uncorrected is -0.77 eV/f.u. The total magnetization is 0.00 μB per cell.

No. 8
Density functional theory data (PBE-GGA) for a geometry-optimized FeCuAu3 structure.

Cell lengths 4.729, 4.729, 4.729 Å; angles 90.00, 90.00, 90.00 degrees
Sites, in units of the cell vectors:
1 Au 0.000 0.500 0.000
2 Fe 0.500 0.500 0.500
3 Au 0.000 0.000 0.500
4 Cu 0.000 0.000 0.000
5 Au 0.500 0.000 0.000

Summary:
The value obtained for the total energy is -3.582 eV per atom. The total magnetization is 3.35 μB per cell.

No. 9
Density functional theory data (PBE-GGA) for a geometry-optimized K2LaRu structure.

Cell lengths 3.259, 3.259, 13.074 Å; angles 90.00, 90.00, 113.14 degrees
Sites, in units of the cell vectors:
1 K 0.000 0.000 0.954
2 Ru 0.500 0.500 0.750
3 K 0.000 0.000 0.546
4 La 0.500 0.500 0.250

Summary:
The value obtained for the total energy is -3.040 eV per atom. The total magnetization is 2.04 μB per cell.

No. 10
Density functional theory data (PBE-GGA) for a geometry-optimized SnSb2Au structure.

Cell lengths 6.488, 6.488, 7.851 Å; angles 65.60, 65.60, 90.00 degrees
Sites, in units of the cell vectors:
1 Sb 0.651 0.125 0.250
2 Sb 0.099 0.625 0.250
3 Sb 0.875 0.901 0.750
4 Sn 0.500 0.500 0.000
5 Sb 0.375 0.349 0.750
6 Au 0.000 0.000 0.000
7 Sn 0.250 0.750 0.500
8 Au 0.750 0.250 0.500

Summary:
Its energy relative to the elements, uncorrected is -0.02 eV/f.u. The total magnetization is 0.00 μB per cell.

No. 11
Density functional theory data (PBE-GGA) for a geometry-optimized GeTeRhI2 structure.

Cell lengths 5.630, 5.630, 5.491 Å; angles 90.00, 90.00, 90.00 degrees
Sites, in units of the cell vectors:
1 Te 0.000 0.000 0.500
2 Ge 0.000 0.000 0.000
3 Rh 0.500 0.500 0.500
4 I 0.000 0.500 0.000
5 I 0.500 0.000 0.000

Summary:
Its energy relative to the elements, uncorrected is 4.41 eV/f.u. The total magnetization is 2.39 μB per cell.

No. 12
Density functional theory data (PBE-GGA) for a geometry-optimized Ca2SiPd4 structure.

Cell lengths 4.584, 4.584, 8.083 Å; angles 73.53, 73.53, 90.00 degrees
Sites, in units of the cell vectors:
1 Pd 0.844 0.844 0.311
2 Pd 0.500 0.000 0.000
3 Ca 0.643 0.643 0.714
4 Ca 0.357 0.357 0.286
5 Pd 0.156 0.156 0.689
6 Pd 0.000 0.500 0.000
7 Si 0.000 0.000 0.000

Summary:
Its energy relative to the elements, uncorrected is -3.30 eV/f.u. The total magnetization is 0.00 μB per cell.

No. 13
Density functional theory data (PBE-GGA) for a geometry-optimized In2NiCl structure.

Cell lengths 7.867, 7.867, 3.596 Å; angles 89.96, 89.96, 24.12 degrees
Sites, in units of the cell vectors:
1 In 0.176 0.176 0.371
2 Cl 0.804 0.804 0.876
3 In 0.977 0.977 0.877
4 Ni 0.543 0.543 0.377

Summary:
Its energy relative to the elements, uncorrected is -0.96 eV/f.u. The total magnetization is 0.00 μB per cell.

No. 14
Density functional theory data (PBE-GGA) for a geometry-optimized SmEuIn2 structure.

Cell lengths 4.475, 5.082, 5.082 Å; angles 90.00, 90.00, 90.00 degrees
Sites, in units of the cell vectors:
1 In 0.000 0.000 0.500
2 Eu 0.500 0.500 0.500
3 In 0.000 0.500 0.000
4 Sm 0.500 0.000 0.000

Summary:
The value obtained for the total energy is -5.570 eV per atom. The total magnetization is 7.27 μB per cell.

No. 15
Density functional theory data (PBE-GGA) for a geometry-optimized AsICl2 structure.

Cell lengths 12.176, 12.176, 12.176 Å; angles 16.08, 16.08, 16.08 degrees
Sites, in units of the cell vectors:
1 Cl 0.063 0.063 0.063
2 As 0.000 0.000 0.000
3 I 0.500 0.500 0.500
4 Cl 0.937 0.937 0.937

Summary:
Its energy relative to the elements, uncorrected is 0.22 eV/f.u. The total magnetization is 0.00 μB per cell.

No. 16
Density functional theory data (PBE-GGA) for a geometry-optimized Zn2PRh structure.

Cell lengths 5.030, 5.030, 4.375 Å; angles 78.98, 78.98, 34.05 degrees
Sites, in units of the cell vectors:
1 Rh 0.220 0.220 0.226
2 Zn 0.770 0.770 0.714
3 P 0.547 0.547 0.492
4 Zn 0.962 0.962 0.067

Summary:
The value obtained for the total energy is -4.030 eV per atom. The total magnetization is 0.00 μB per cell.

No. 17
Density functional theory data (PBE-GGA) for a geometry-optimized AcLaTe2N structure.

Cell lengths 4.566, 4.566, 15.900 Å; angles 90.00, 90.00, 90.00 degrees
Sites, in units of the cell vectors:
1 Te 0.000 0.500 0.089
2 Te 0.500 0.000 0.911
3 La 0.000 0.500 0.439
4 N 0.000 0.000 0.500
5 Ac 0.500 0.000 0.136
6 Te 0.000 0.500 0.669
7 Te 0.500 0.000 0.331
8 La 0.500 0.000 0.561
9 Ac 0.000 0.500 0.864
10 N 0.500 0.500 0.500

Summary:
Its energy relative to the elements, uncorrected is -5.83 eV/f.u. The total magnetization is 1.98 μB per cell.

No. 18
Density functional theory data (PBE-GGA) for a geometry-optimized BaTaCu structure.

Cell lengths 5.144, 5.144, 13.234 Å; angles 90.00, 90.00, 120.00 degrees
Sites, in units of the cell vectors:
1 Ta 0.000 0.000 0.000
2 Cu 0.333 0.667 0.250
3 Cu 0.667 0.333 0.750
4 Ba 0.000 0.000 0.750
5 Ta 0.000 0.000 0.500
6 Ba 0.000 0.000 0.250

Summary:
The value obtained for the total energy is -3.325 eV per atom. The total magnetization is 8.05 μB per cell.

No. 19
Density functional theory data (PBE-GGA) for a geometry-optimized ScCoTc2 structure.

Cell lengths 4.349, 4.349, 4.349 Å; angles 60.00, 60.00, 60.00 degrees
Sites, in units of the cell vectors:
1 Tc 0.750 0.750 0.750
2 Tc 0.250 0.250 0.250
3 Co 0.500 0.500 0.500
4 Sc 0.000 0.000 0.000

Summary:
The value obtained for the total energy is -8.280 eV per atom. The total magnetization is 0.00 μB per cell.

No. 20
Density functional theory data (PBE-GGA) for a geometry-optimized DyTlNi2 structure.

Cell lengths 4.631, 4.631, 4.631 Å; angles 60.00, 60.00, 60.00 degrees
Sites, in units of the cell vectors:
1 Ni 0.250 0.250 0.250
2 Ni 0.750 0.750 0.750
3 Dy 0.000 0.000 0.000
4 Tl 0.500 0.500 0.500

Summary:
The value obtained for the total energy is -4.829 eV per atom. The total magnetization is 0.00 μB per cell.